1 | A relaxed BaZr2Mn crystal, computed with PBE.

```
BaZr2Mn
1.0
0.0000 3.5373 3.5373
3.5373 0.0000 3.5373
3.5373 3.5373 0.0000
Ba Zr Mn
1 2 1
direct
0.0000 0.0000 0.0000 Ba
0.2500 0.2500 0.2500 Zr
0.7500 0.7500 0.7500 Zr
0.5000 0.5000 0.5000 Mn
```

DOS at the Fermi energy = 2.284 states/eV/atom
Theoretical density = 7.029 g/cm3
Symmetry = Fm-3m

***

2 | A relaxed BaZr2Mn crystal, computed with PBE.

```
BaZr2Mn
1.0
-1.6401 2.9160 5.3869
1.6401 -2.9160 5.3869
1.6401 2.9160 -5.3869
Ba Zr Mn
1 2 1
direct
0.0000 0.0000 0.0000 Ba
0.3062 0.8062 0.5000 Zr
0.6938 0.1938 0.5000 Zr
0.5000 0.5000 0.0000 Mn
```

DOS at the Fermi energy = 1.381 states/eV/atom
Theoretical density = 6.038 g/cm3
Symmetry = Immm

***

3 | A relaxed BaZr2Mn crystal, computed with PBE.

```
BaZr2Mn
1.0
3.5575 0.0000 0.0000
0.0000 3.5494 0.0000
-0.0083 0.0000 8.5503
Ba Zr Mn
1 2 1
direct
0.0000 0.0000 0.0000 Ba
0.0009 0.0000 0.5742 Zr
0.5006 0.5000 0.3587 Zr
0.5012 0.5000 0.7108 Mn
```

DOS at the Fermi energy = 1.334 states/eV/atom
Theoretical density = 5.763 g/cm3
Symmetry = Pm

***

3 is the most stable structure; the next one sits 179 meV per atom above it.

***

1 | A relaxed BaZr2Mn crystal, computed with PBE.

```
BaZr2Mn
1.0
3.0809 -5.2129 0.0000
3.0809 5.2129 0.0000
0.0000 0.0000 3.1282
Ba Zr Mn
1 2 1
direct
0.0000 0.0000 0.0000 Ba
0.0000 0.5000 0.5000 Zr
0.5000 0.0000 0.5000 Zr
0.5000 0.5000 0.0000 Mn
```

DOS at the Fermi energy = 1.228 states/eV/atom
Theoretical density = 6.193 g/cm3
Symmetry = Cmmm

***

2 | A relaxed BaZr2Mn crystal, computed with PBE.

```
BaZr2Mn
1.0
3.1777 -5.6973 0.0000
3.1777 5.6973 0.0000
-1.5675 0.0000 2.8148
Ba Zr Mn
1 2 1
direct
0.0000 0.0000 0.0000 Ba
0.0000 0.5000 0.5000 Zr
0.5000 0.0000 0.5000 Zr
0.5000 0.5000 0.0000 Mn
```

DOS at the Fermi energy = 1.411 states/eV/atom
Theoretical density = 6.105 g/cm3
Symmetry = C2/m

***

3 | A relaxed BaZr2Mn crystal, computed with PBE.

```
BaZr2Mn
1.0
0.0000 5.2090 5.2090
5.2090 0.0000 5.2090
5.2090 5.2090 0.0000
Ba Zr Mn
2 4 2
direct
0.1250 0.1250 0.1250 Ba
0.8750 0.8750 0.8750 Ba
0.0000 0.5000 0.5000 Zr
0.5000 0.0000 0.5000 Zr
0.5000 0.5000 0.0000 Zr
0.5000 0.5000 0.5000 Zr
0.3750 0.3750 0.3750 Mn
0.6250 0.6250 0.6250 Mn
```

DOS at the Fermi energy = 1.726 states/eV/atom
Theoretical density = 4.402 g/cm3
Symmetry = Fd-3m

***

2 is the most stable structure; the next one sits 64 meV per atom above it.

***

1 | A relaxed BaZrMn2 crystal, computed with PBE.

```
BaZrMn2
1.0
0.0000 3.6256 3.6256
3.6256 0.0000 3.6256
3.6256 3.6256 0.0000
Ba Zr Mn
1 1 2
direct
0.0000 0.0000 0.0000 Ba
0.5000 0.5000 0.5000 Zr
0.2500 0.2500 0.2500 Mn
0.7500 0.7500 0.7500 Mn
```

DOS at the Fermi energy = 0.771 states/eV/atom
Theoretical density = 5.896 g/cm3
Symmetry = Fm-3m

***

2 | A relaxed BaZrMn2 crystal, computed with PBE.

```
BaZrMn2
1.0
1.7338 1.0010 9.2736
-1.7338 1.0010 9.2736
0.0000 -2.0020 9.2736
Ba Zr Mn
1 1 2
direct
0.0000 0.0000 0.0000 Ba
0.5000 0.5000 0.5000 Zr
0.2357 0.2357 0.2357 Mn
0.7643 0.7643 0.7643 Mn
```

DOS at the Fermi energy = 1.424 states/eV/atom
Theoretical density = 5.819 g/cm3
Symmetry = R-3m

***

1 is the most stable structure; the next one sits 9 meV per atom above it.